1.
First-principles (GGA-PBE) data for a relaxed structure of CuSi2, as listed in the Alexandria database.

Summary:
E_form (uncorrected) = 17.0 kJ/mol of atoms
N(E_F) = 3.361 states/eV/cell
Total moment = 0.000 μB/f.u.

abc: 12.475 2.721 4.996
angles: 90.00 100.92 90.00
Space group C2/m (No. 12)
One atom of each set of equivalent atoms:
Cu: 0.183 0.000 0.328 x4
Si: 0.014 0.500 0.258 x4
Si: 0.173 0.000 0.829 x4


2.
First-principles (GGA-PBE) data for a relaxed structure of TbTmCdCo, as listed in the Alexandria database.

Summary:
N(E_F) = 2.435 states/eV/cell
Total moment = 0.477 μB/f.u.
ΔH_f (0 K) = -25.81 kJ/mol of atoms
Energy relative to the lowest polymorph listed for this composition = 0.0 meV/atom

abc: 3.407 3.407 7.621
angles: 90.00 90.00 90.00
Space group P4mm (No. 99)
One atom of each set of equivalent atoms:
Tb: 0.000 0.000 0.000 x1
Tm: 0.000 0.000 0.576 x1
Cd: 0.500 0.500 0.294 x1
Co: 0.500 0.500 0.781 x1


3.
First-principles (GGA-PBE) data for a relaxed structure of Pm2ErMg6, as listed in the Alexandria database.

Summary:
N(E_F) = 5.118 states/eV/cell
Total moment = 0.000 μB/f.u.
ΔH_f (0 K) = -8.26 kJ/mol of atoms

abc: 9.1385 9.1385 3.3094
angles: 90.00 90.00 120.00
Space group P6/mmm (No. 191)
One atom of each set of equivalent atoms:
Pm: 0.3333 0.6667 0.0000 x2
Er: 0.0000 0.0000 0.0000 x1
Mg: 0.0000 0.3298 0.5000 x6


4.
First-principles (GGA-PBE) data for a relaxed structure of MnSbS3, as listed in the Alexandria database.

Summary:
E_form (uncorrected) = -26.1 kJ/mol of atoms
N(E_F) = 2.949 states/eV/cell
Total moment = 2.936 μB/f.u.

abc: 6.3839 6.3839 6.6370
angles: 90.00 90.00 120.00
Space group P-31m (No. 162)
One atom of each set of equivalent atoms:
Mn: 0.3333 0.6667 0.0000 x2
Sb: 0.0000 0.0000 0.2242 x2
S: 0.0000 0.4125 0.7919 x6